(1)
KTlCdPt2 | PBE-GGA | optimized geometry

ΔE_f in eV per atom: 0.534
Crystal system: tetragonal

The structure in CIF format:
```
data_KTlCdPt2
_chemical_formula_sum 'K1 Tl1 Cd1 Pt2'
_space_group_name_H-M_alt 'P 4/m m m'
_space_group_IT_number 123
_space_group_name_Hall '-P 4 2'
_cell_length_a 5.164
_cell_length_b 5.164
_cell_length_c 5.585
_cell_angle_alpha 90.00
_cell_angle_beta 90.00
_cell_angle_gamma 90.00
loop_
_atom_site_label
_atom_site_type_symbol
_atom_site_fract_x
_atom_site_fract_y
_atom_site_fract_z
K1 K 0.000 0.000 0.000
Tl1 Tl 0.500 0.500 0.000
Cd1 Cd 0.000 0.000 0.500
Pt1 Pt 0.000 0.500 0.500
```

(2)
KZn2CdPt | PBE-GGA | optimized geometry

ΔE_f in eV per atom: -0.276
Crystal system: tetragonal

The structure in CIF format:
```
data_KZn2CdPt
_chemical_formula_sum 'K1 Zn2 Cd1 Pt1'
_space_group_name_H-M_alt 'P 4/m m m'
_space_group_IT_number 123
_space_group_name_Hall '-P 4 2'
_cell_length_a 4.967
_cell_length_b 4.967
_cell_length_c 5.293
_cell_angle_alpha 90.00
_cell_angle_beta 90.00
_cell_angle_gamma 90.00
loop_
_atom_site_label
_atom_site_type_symbol
_atom_site_fract_x
_atom_site_fract_y
_atom_site_fract_z
K1 K 0.000 0.000 0.000
Zn1 Zn 0.000 0.500 0.500
Cd1 Cd 0.500 0.500 0.000
Pt1 Pt 0.500 0.500 0.500
```

(3)
KZnCd2Pt | PBE-GGA | optimized geometry

ΔE_f in eV per atom: -0.264
Crystal system: tetragonal

The structure in CIF format:
```
data_KZnCd2Pt
_chemical_formula_sum 'K1 Zn1 Cd2 Pt1'
_space_group_name_H-M_alt 'P 4/m m m'
_space_group_IT_number 123
_space_group_name_Hall '-P 4 2'
_cell_length_a 5.308
_cell_length_b 5.308
_cell_length_c 4.971
_cell_angle_alpha 90.00
_cell_angle_beta 90.00
_cell_angle_gamma 90.00
loop_
_atom_site_label
_atom_site_type_symbol
_atom_site_fract_x
_atom_site_fract_y
_atom_site_fract_z
K1 K 0.000 0.000 0.000
Zn1 Zn 0.500 0.500 0.000
Cd1 Cd 0.000 0.500 0.500
Pt1 Pt 0.500 0.500 0.500
```

(4)
KPuCd17 | PBE-GGA | optimized geometry

ΔE_f in eV per atom: -0.045
Crystal system: trigonal

The structure in CIF format:
```
data_KPuCd17
_chemical_formula_sum 'K3 Pu3 Cd51'
_space_group_name_H-M_alt 'R 3 m'
_space_group_IT_number 160
_space_group_name_Hall 'R 3 -2"'
_cell_length_a 10.2258
_cell_length_b 10.2258
_cell_length_c 15.2131
_cell_angle_alpha 90.00
_cell_angle_beta 90.00
_cell_angle_gamma 120.00
loop_
_atom_site_label
_atom_site_type_symbol
_atom_site_fract_x
_atom_site_fract_y
_atom_site_fract_z
K1 K 0.0000 0.0000 0.0000
Pu1 Pu 0.0000 0.0000 0.3307
Cd1 Cd 0.0000 0.0000 0.5553
Cd2 Cd 0.0000 0.0000 0.7545
Cd3 Cd 0.0365 0.3670 0.3285
Cd4 Cd 0.1736 0.3471 0.1392
Cd5 Cd 0.1762 0.3523 0.4992
Cd6 Cd 0.1863 0.3726 0.8478
```

(5)
KPuCd | PBE-GGA | optimized geometry

ΔE_f in eV per atom: 0.261
Crystal system: triclinic

The structure in CIF format:
```
data_KPuCd
_chemical_formula_sum 'K2 Pu2 Cd2'
_space_group_name_H-M_alt 'P 1'
_space_group_IT_number 1
_cell_length_a 3.400
_cell_length_b 6.735
_cell_length_c 9.496
_cell_angle_alpha 110.64
_cell_angle_beta 90.00
_cell_angle_gamma 104.61
loop_
_space_group_symop_operation_xyz
'x,y,z'
loop_
_atom_site_label
_atom_site_type_symbol
_atom_site_fract_x
_atom_site_fract_y
_atom_site_fract_z
K1 K 0.000 0.000 0.000
K2 K 0.311 0.635 0.241
Pu1 Pu 0.047 0.095 0.627
Pu2 Pu 0.678 0.357 0.773
Cd1 Cd 0.329 0.659 0.627
Cd2 Cd 0.621 0.245 0.391
```

(6)
KPuCd10 | PBE-GGA | optimized geometry

ΔE_f in eV per atom: -0.020
Crystal system: orthorhombic

The structure in CIF format:
```
data_KPuCd10
_chemical_formula_sum 'K1 Pu1 Cd10'
_space_group_name_H-M_alt 'P m m m'
_space_group_IT_number 47
_cell_length_a 4.907
_cell_length_b 6.040
_cell_length_c 10.439
_cell_angle_alpha 90.00
_cell_angle_beta 90.00
_cell_angle_gamma 90.00
loop_
_space_group_symop_operation_xyz
'x,y,z'
'-x,-y,-z'
'-x,-y,z'
'x,y,-z'
'x,-y,-z'
'-x,y,z'
'-x,y,-z'
'x,-y,z'
loop_
_atom_site_label
_atom_site_type_symbol
_atom_site_fract_x
_atom_site_fract_y
_atom_site_fract_z
K1 K 0.000 0.000 0.000
Pu1 Pu 0.000 0.500 0.500
Cd1 Cd 0.000 0.000 0.337
Cd2 Cd 0.000 0.500 0.170
Cd3 Cd 0.500 0.000 0.500
Cd4 Cd 0.500 0.260 0.266
Cd5 Cd 0.500 0.500 0.000
```

(7)
K3Pu2CdS6 | PBE-GGA | optimized geometry

Crystal system: monoclinic
ΔE_f (raw) in eV/f.u.: -15.968

The structure in CIF format:
```
data_K3Pu2CdS6
_chemical_formula_sum 'K6 Pu4 Cd2 S12'
_space_group_name_H-M_alt 'C 1 2/m 1'
_space_group_IT_number 12
_cell_length_a 7.024
_cell_length_b 12.163
_cell_length_c 7.705
_cell_angle_alpha 90.00
_cell_angle_beta 107.61
_cell_angle_gamma 90.00
loop_
_space_group_symop_operation_xyz
'x,y,z'
'-x,-y,-z'
'-x,y,-z'
'x,-y,z'
'x+1/2,y+1/2,z'
'-x+1/2,-y+1/2,-z'
'-x+1/2,y+1/2,-z'
'x+1/2,-y+1/2,z'
loop_
_atom_site_label
_atom_site_type_symbol
_atom_site_fract_x
_atom_site_fract_y
_atom_site_fract_z
K1 K 0.000 0.000 0.000
K2 K 0.000 0.338 0.000
Pu1 Pu 0.000 0.167 0.500
Cd1 Cd 0.000 0.500 0.500
S1 S 0.225 0.000 0.700
S2 S 0.238 0.329 0.702
```

(8)
K4Pu3CdS8 | PBE-GGA | optimized geometry

Crystal system: trigonal
ΔE_f (raw) in eV/f.u.: -22.314

The structure in CIF format:
```
data_K4Pu3CdS8
_chemical_formula_sum 'K12 Pu9 Cd3 S24'
_space_group_name_H-M_alt 'R -3 m'
_space_group_IT_number 166
_space_group_name_Hall '-R 3 2"'
_cell_length_a 8.1634
_cell_length_b 8.1634
_cell_length_c 21.9597
_cell_angle_alpha 90.00
_cell_angle_beta 90.00
_cell_angle_gamma 120.00
loop_
_atom_site_label
_atom_site_type_symbol
_atom_site_fract_x
_atom_site_fract_y
_atom_site_fract_z
K1 K 0.0000 0.0000 0.0000
K2 K 0.0000 0.5000 0.0000
Pu1 Pu 0.0000 0.5000 0.5000
Cd1 Cd 0.0000 0.0000 0.5000
S1 S 0.0000 0.0000 0.2330
S2 S 0.0060 0.5030 0.7666
```

(9)
K2PuCd2Se4 | PBE-GGA | optimized geometry

Crystal system: monoclinic
ΔE_f (raw) in eV/f.u.: -8.829

The structure in CIF format:
```
data_K2PuCd2Se4
_chemical_formula_sum 'K4 Pu2 Cd4 Se8'
_space_group_name_H-M_alt 'C 1 2/m 1'
_space_group_IT_number 12
_cell_length_a 16.225
_cell_length_b 4.365
_cell_length_c 8.099
_cell_angle_alpha 90.00
_cell_angle_beta 109.15
_cell_angle_gamma 90.00
loop_
_space_group_symop_operation_xyz
'x,y,z'
'-x,-y,-z'
'-x,y,-z'
'x,-y,z'
'x+1/2,y+1/2,z'
'-x+1/2,-y+1/2,-z'
'-x+1/2,y+1/2,-z'
'x+1/2,-y+1/2,z'
loop_
_atom_site_label
_atom_site_type_symbol
_atom_site_fract_x
_atom_site_fract_y
_atom_site_fract_z
K1 K 0.125 0.000 0.053
Pu1 Pu 0.000 0.000 0.500
Cd1 Cd 0.172 0.500 0.483
Se1 Se 0.011 0.500 0.256
Se2 Se 0.205 0.000 0.698
```

(10)
K4Pu3CdSe8 | PBE-GGA | optimized geometry

Crystal system: monoclinic
ΔE_f (raw) in eV/f.u.: -20.304

The structure in CIF format:
```
data_K4Pu3CdSe8
_chemical_formula_sum 'K8 Pu6 Cd2 Se16'
_space_group_name_H-M_alt 'C 1 2/m 1'
_space_group_IT_number 12
_cell_length_a 14.848
_cell_length_b 8.506
_cell_length_c 9.089
_cell_angle_alpha 90.00
_cell_angle_beta 122.92
_cell_angle_gamma 90.00
loop_
_space_group_symop_operation_xyz
'x,y,z'
'-x,-y,-z'
'-x,y,-z'
'x,-y,z'
'x+1/2,y+1/2,z'
'-x+1/2,-y+1/2,-z'
'-x+1/2,y+1/2,-z'
'x+1/2,-y+1/2,z'
loop_
_atom_site_label
_atom_site_type_symbol
_atom_site_fract_x
_atom_site_fract_y
_atom_site_fract_z
K1 K 0.000 0.000 0.000
K2 K 0.000 0.500 0.000
K3 K 0.250 0.250 0.000
Pu1 Pu 0.000 0.000 0.500
Pu2 Pu 0.250 0.250 0.500
Cd1 Cd 0.000 0.500 0.500
Se1 Se 0.016 0.249 0.296
Se2 Se 0.235 0.000 0.705
Se3 Se 0.238 0.500 0.704
```

(11)
KPuCdTe3 | PBE-GGA | optimized geometry

Crystal system: monoclinic
ΔE_f (raw) in eV/f.u.: -5.186

The structure in CIF format:
```
data_KPuCdTe3
_chemical_formula_sum 'K2 Pu2 Cd2 Te6'
_space_group_name_H-M_alt 'P 1 21/m 1'
_space_group_IT_number 11
_cell_length_a 9.471
_cell_length_b 4.571
_cell_length_c 10.820
_cell_angle_alpha 90.00
_cell_angle_beta 107.08
_cell_angle_gamma 90.00
loop_
_space_group_symop_operation_xyz
'x,y,z'
'-x,-y,-z'
'-x,y+1/2,-z'
'x,-y+1/2,z'
loop_
_atom_site_label
_atom_site_type_symbol
_atom_site_fract_x
_atom_site_fract_y
_atom_site_fract_z
K1 K 0.215 0.250 0.240
Pu1 Pu 0.323 0.750 0.858
Cd1 Cd 0.086 0.250 0.608
Te1 Te 0.097 0.250 0.871
Te2 Te 0.234 0.750 0.539
Te3 Te 0.460 0.750 0.156
```

(12)
K2PuCd2Te4 | PBE-GGA | optimized geometry

Crystal system: monoclinic
ΔE_f (raw) in eV/f.u.: -7.083

The structure in CIF format:
```
data_K2PuCd2Te4
_chemical_formula_sum 'K4 Pu2 Cd4 Te8'
_space_group_name_H-M_alt 'C 1 2/m 1'
_space_group_IT_number 12
_cell_length_a 16.918
_cell_length_b 4.650
_cell_length_c 8.589
_cell_angle_alpha 90.00
_cell_angle_beta 108.66
_cell_angle_gamma 90.00
loop_
_space_group_symop_operation_xyz
'x,y,z'
'-x,-y,-z'
'-x,y,-z'
'x,-y,z'
'x+1/2,y+1/2,z'
'-x+1/2,-y+1/2,-z'
'-x+1/2,y+1/2,-z'
'x+1/2,-y+1/2,z'
loop_
_atom_site_label
_atom_site_type_symbol
_atom_site_fract_x
_atom_site_fract_y
_atom_site_fract_z
K1 K 0.125 0.000 0.062
Pu1 Pu 0.000 0.000 0.500
Cd1 Cd 0.168 0.500 0.484
Te1 Te 0.007 0.500 0.248
Te2 Te 0.206 0.000 0.698
```

(13)
K3Pu2CdTe6 | PBE-GGA | optimized geometry

Crystal system: monoclinic
ΔE_f (raw) in eV/f.u.: -11.021

The structure in CIF format:
```
data_K3Pu2CdTe6
_chemical_formula_sum 'K6 Pu4 Cd2 Te12'
_space_group_name_H-M_alt 'C 1 2/m 1'
_space_group_IT_number 12
_cell_length_a 7.850
_cell_length_b 13.589
_cell_length_c 8.592
_cell_angle_alpha 90.00
_cell_angle_beta 107.69
_cell_angle_gamma 90.00
loop_
_space_group_symop_operation_xyz
'x,y,z'
'-x,-y,-z'
'-x,y,-z'
'x,-y,z'
'x+1/2,y+1/2,z'
'-x+1/2,-y+1/2,-z'
'-x+1/2,y+1/2,-z'
'x+1/2,-y+1/2,z'
loop_
_atom_site_label
_atom_site_type_symbol
_atom_site_fract_x
_atom_site_fract_y
_atom_site_fract_z
K1 K 0.000 0.000 0.000
K2 K 0.000 0.335 0.000
Pu1 Pu 0.000 0.167 0.500
Cd1 Cd 0.000 0.500 0.500
Te1 Te 0.233 0.000 0.705
Te2 Te 0.236 0.332 0.706
```

(14)
K2RbCd3 | PBE-GGA | optimized geometry

ΔE_f in eV per atom: -0.011
Crystal system: orthorhombic

The structure in CIF format:
```
data_K2RbCd3
_chemical_formula_sum 'K8 Rb4 Cd12'
_space_group_name_H-M_alt 'C m c m'
_space_group_IT_number 63
_space_group_name_Hall '-C 2c 2'
_cell_length_a 19.457
_cell_length_b 10.570
_cell_length_c 5.457
_cell_angle_alpha 90.00
_cell_angle_beta 90.00
_cell_angle_gamma 90.00
loop_
_atom_site_label
_atom_site_type_symbol
_atom_site_fract_x
_atom_site_fract_y
_atom_site_fract_z
K1 K 0.174 0.166 0.250
Rb1 Rb 0.000 0.321 0.750
Cd1 Cd 0.000 0.041 0.250
Cd2 Cd 0.167 0.500 0.000
```

(15)
K5Rb8Cd | PBE-GGA | optimized geometry

ΔE_f in eV per atom: 0.032
Crystal system: tetragonal

The structure in CIF format:
```
data_K5Rb8Cd
_chemical_formula_sum 'K10 Rb16 Cd2'
_space_group_name_H-M_alt 'I -4'
_space_group_IT_number 82
_cell_length_a 13.560
_cell_length_b 13.560
_cell_length_c 12.088
_cell_angle_alpha 90.00
_cell_angle_beta 90.00
_cell_angle_gamma 90.00
loop_
_space_group_symop_operation_xyz
'x,y,z'
'y,-x,-z'
'-x,-y,z'
'-y,x,-z'
'x+1/2,y+1/2,z+1/2'
'y+1/2,-x+1/2,-z+1/2'
'-x+1/2,-y+1/2,z+1/2'
'-y+1/2,x+1/2,-z+1/2'
loop_
_atom_site_label
_atom_site_type_symbol
_atom_site_fract_x
_atom_site_fract_y
_atom_site_fract_z
K1 K 0.000 0.000 0.000
K2 K 0.073 0.156 0.360
Rb1 Rb 0.036 0.345 0.050
Rb2 Rb 0.136 0.260 0.706
Cd1 Cd 0.000 0.500 0.750
```

(16)
K8RbCd4 | PBE-GGA | optimized geometry

ΔE_f in eV per atom: 0.007
Crystal system: tetragonal

The structure in CIF format:
```
data_K8RbCd4
_chemical_formula_sum 'K16 Rb2 Cd8'
_space_group_name_H-M_alt 'I 4/m m m'
_space_group_IT_number 139
_space_group_name_Hall '-I 4 2'
_cell_length_a 13.031
_cell_length_b 13.031
_cell_length_c 7.627
_cell_angle_alpha 90.00
_cell_angle_beta 90.00
_cell_angle_gamma 90.00
loop_
_atom_site_label
_atom_site_type_symbol
_atom_site_fract_x
_atom_site_fract_y
_atom_site_fract_z
K1 K 0.000 0.221 0.000
K2 K 0.000 0.328 0.500
Rb1 Rb 0.000 0.000 0.500
Cd1 Cd 0.250 0.250 0.250
```

(17)
K6Rb2Cd | PBE-GGA | optimized geometry

ΔE_f in eV per atom: 0.012
Crystal system: orthorhombic

The structure in CIF format:
```
data_K6Rb2Cd
_chemical_formula_sum 'K12 Rb4 Cd2'
_space_group_name_H-M_alt 'A m m 2'
_space_group_IT_number 38
_cell_length_a 5.057
_cell_length_b 21.217
_cell_length_c 11.654
_cell_angle_alpha 90.00
_cell_angle_beta 90.00
_cell_angle_gamma 90.00
loop_
_space_group_symop_operation_xyz
'x,y,z'
'-x,-y,z'
'-x,y,z'
'x,-y,z'
'x,y+1/2,z+1/2'
'-x,-y+1/2,z+1/2'
'-x,y+1/2,z+1/2'
'x,-y+1/2,z+1/2'
loop_
_atom_site_label
_atom_site_type_symbol
_atom_site_fract_x
_atom_site_fract_y
_atom_site_fract_z
K1 K 0.000 0.000 0.000
K2 K 0.000 0.109 0.629
K3 K 0.500 0.000 0.370
K4 K 0.500 0.166 0.927
Rb1 Rb 0.000 0.178 0.257
Cd1 Cd 0.500 0.000 0.759
```

(18)
K7Rb2Cd2 | PBE-GGA | optimized geometry

ΔE_f in eV per atom: 0.013
Crystal system: orthorhombic

The structure in CIF format:
```
data_K7Rb2Cd2
_chemical_formula_sum 'K14 Rb4 Cd4'
_space_group_name_H-M_alt 'I m m m'
_space_group_IT_number 71
_space_group_name_Hall '-I 2 2'
_cell_length_a 6.083
_cell_length_b 13.154
_cell_length_c 16.867
_cell_angle_alpha 90.00
_cell_angle_beta 90.00
_cell_angle_gamma 90.00
loop_
_atom_site_label
_atom_site_type_symbol
_atom_site_fract_x
_atom_site_fract_y
_atom_site_fract_z
K1 K 0.000 0.000 0.000
K2 K 0.000 0.260 0.138
K3 K 0.000 0.500 0.340
Rb1 Rb 0.000 0.000 0.376
Cd1 Cd 0.000 0.287 0.500
```

(19)
KRb3Cd | PBE-GGA | optimized geometry

ΔE_f in eV per atom: -0.009
Crystal system: tetragonal

The structure in CIF format:
```
data_KRb3Cd
_chemical_formula_sum 'K4 Rb12 Cd4'
_space_group_name_H-M_alt 'P 42/m n m'
_space_group_IT_number 136
_space_group_name_Hall '-P 4n 2n'
_cell_length_a 15.680
_cell_length_b 15.680
_cell_length_c 5.551
_cell_angle_alpha 90.00
_cell_angle_beta 90.00
_cell_angle_gamma 90.00
loop_
_atom_site_label
_atom_site_type_symbol
_atom_site_fract_x
_atom_site_fract_y
_atom_site_fract_z
K1 K 0.191 0.191 0.000
Rb1 Rb 0.006 0.321 0.500
Rb2 Rb 0.107 0.893 0.000
Cd1 Cd 0.068 0.068 0.500
```

(20)
K4RbCd | PBE-GGA | optimized geometry

ΔE_f in eV per atom: -0.009
Crystal system: monoclinic

The structure in CIF format:
```
data_K4RbCd
_chemical_formula_sum 'K16 Rb4 Cd4'
_space_group_name_H-M_alt 'C 1 2/m 1'
_space_group_IT_number 12
_cell_length_a 22.013
_cell_length_b 9.631
_cell_length_c 7.822
_cell_angle_alpha 90.00
_cell_angle_beta 110.25
_cell_angle_gamma 90.00
loop_
_space_group_symop_operation_xyz
'x,y,z'
'-x,-y,-z'
'-x,y,-z'
'x,-y,z'
'x+1/2,y+1/2,z'
'-x+1/2,-y+1/2,-z'
'-x+1/2,y+1/2,-z'
'x+1/2,-y+1/2,z'
loop_
_atom_site_label
_atom_site_type_symbol
_atom_site_fract_x
_atom_site_fract_y
_atom_site_fract_z
K1 K 0.000 0.218 0.000
K2 K 0.112 0.234 0.610
K3 K 0.160 0.500 0.160
Rb1 Rb 0.206 0.000 0.204
Cd1 Cd 0.001 0.500 0.313
```

no.,N(E_F) (states/eV per atom)
1,0.53
2,0.23
3,0.27
4,1.00
5,1.43
6,1.62
7,1.45
8,1.70
9,1.61
10,2.10
11,2.19
12,1.90
13,2.06
14,0.75
15,0.95
16,0.76
17,0.79
18,0.74
19,0.80
20,0.79